# 1
Here is a relaxed structure of Nd2SmScO6 from Alexandria. Energies are from PBE-GGA.

The structure in POSCAR format:
```
Nd2SmScO6
1.0
-4.5529 -2.2891 2.9731
-2.7134 -4.8328 -2.0223
0.7477 -5.2565 2.9520
O Nd Sm Sc
6 2 1 1
direct
0.1218 0.4307 0.7691
0.5931 0.1944 0.2541
0.6785 0.1218 0.7691
0.9583 0.5931 0.2542
0.1944 0.9583 0.2541
0.4307 0.6785 0.7690
0.5336 0.5336 0.3992
0.0309 0.0309 0.9074
0.8070 0.8070 0.5791
0.3133 0.3133 0.0600
```

SG   R3, No. 146
Uncorrected energy   -84.01 eV/cell
M_tot   0.0 μB per formula unit
Theoretical density   6.3 g/cm³
Energy relative to the elements, uncorrected   -3367 meV/atom
D(E_F)   0.0000 states/eV/atom

***

# 2
Here is a relaxed structure of Nd2Sc2Sn2O from Alexandria. Energies are from PBE-GGA.

The structure in POSCAR format:
```
Nd2Sc2Sn2O
1.0
-1.7247 -2.3990 -3.3390
-2.8609 -1.9002 2.8431
-3.1896 8.1694 -1.2453
O Sn Sc Nd
1 2 2 2
direct
0.0000 0.0000 0.0000
0.6304 0.6304 0.2609
0.3696 0.3696 0.7391
0.5000 0.0000 0.0000
0.0000 0.5000 0.0000
0.8301 0.8301 0.6602
0.1699 0.1699 0.3398
```

SG   I4/mmm, No. 139
Uncorrected energy   -45.04 eV/cell
M_tot   0.0 μB per formula unit
Theoretical density   6.4 g/cm³
Energy relative to the elements, uncorrected   -1411 meV/atom
D(E_F)   1.1356 states/eV/atom

***

# 3
Here is a relaxed structure of Nd2Sc4Sn3O2 from Alexandria. Energies are from PBE-GGA.

The structure in POSCAR format:
```
Nd2Sc4Sn3O2
1.0
4.4359 0.0000 0.0000
0.0000 4.4359 0.0000
-2.2179 -2.2179 12.3921
Sc Nd Sn O
4 2 3 2
direct
0.4196 0.9196 0.8392
0.9196 0.4196 0.8392
0.5804 0.0804 0.1608
0.0804 0.5804 0.1608
0.6936 0.6936 0.3871
0.3064 0.3064 0.6129
0.0000 0.0000 0.0000
0.8296 0.8296 0.6593
0.1704 0.1704 0.3407
0.5888 0.5888 0.1777
0.4112 0.4112 0.8223
```

SG   I4/mmm, No. 139
Uncorrected energy   -73.79 eV/cell
M_tot   0.0 μB per formula unit
Theoretical density   5.8 g/cm³
Energy relative to the elements, uncorrected   -1546 meV/atom
D(E_F)   0.8563 states/eV/atom

***

# 4
Here is a relaxed structure of SrNdScO4 from Alexandria. Energies are from PBE-GGA.

The structure in POSCAR format:
```
SrNdScO4
1.0
-1.8233 -6.5393 0.5889
3.0564 4.1645 4.4439
-5.2593 1.6527 2.0685
Sr O Nd Sc
2 8 2 2
direct
0.1043 0.8957 0.9876
0.8957 0.1043 0.4876
0.0836 0.9164 0.5681
0.0326 0.4816 0.7610
0.9674 0.5184 0.2610
0.5184 0.9674 0.7610
0.4305 0.5695 0.4048
0.5695 0.4305 0.9048
0.9164 0.0836 0.0681
0.4816 0.0326 0.2610
0.3928 0.6072 0.0130
0.6072 0.3928 0.5130
0.7540 0.2460 0.0045
0.2460 0.7540 0.5045
```

Relative energy among the computed polymorphs   0.00 eV per formula unit
SG   Cmc2_1, No. 36
Uncorrected energy   -110.33 eV/cell
M_tot   0.0 μB per formula unit
Theoretical density   5.4 g/cm³
Energy relative to the elements, uncorrected   -3221 meV/atom
D(E_F)   0.0000 states/eV/atom

***

# 5
Here is a relaxed structure of SrNdScO4 from Alexandria. Energies are from PBE-GGA.

The structure in POSCAR format:
```
SrNdScO4
1.0
-3.5169 -1.3648 1.4320
-0.0829 -2.8167 -2.8881
4.8793 -1.8771 4.5094
Sr Nd O Sc
1 1 4 1
direct
0.6471 0.6471 0.2941
0.3615 0.3615 0.7230
0.8313 0.8313 0.6626
0.9892 0.4892 0.9784
0.1772 0.1772 0.3544
0.4892 0.9892 0.9784
0.0046 0.0046 0.0091
```

Relative energy among the computed polymorphs   0.17 eV per formula unit
SG   I4mm, No. 107
Uncorrected energy   -55.00 eV/cell
M_tot   0.0 μB per formula unit
Theoretical density   5.5 g/cm³
Energy relative to the elements, uncorrected   -3197 meV/atom
D(E_F)   0.0000 states/eV/atom

***

# 6
Here is a relaxed structure of NdSc2TcO8 from Alexandria. Energies are from PBE-GGA.

The structure in POSCAR format:
```
NdSc2TcO8
1.0
-0.0930 2.1463 4.4127
1.9407 -3.9804 2.0969
6.0851 2.4154 -1.0467
O Sc Nd Tc
8 2 1 1
direct
0.1942 0.8042 0.7956
0.1942 0.8042 0.2044
0.8058 0.1958 0.7956
0.8058 0.1958 0.2044
0.2737 0.2726 0.0000
0.7263 0.7274 0.0000
0.3245 0.3224 0.5000
0.6755 0.6776 0.5000
0.5000 0.5000 0.7424
0.5000 0.5000 0.2576
0.0000 0.0000 0.5000
0.0000 0.0000 0.0000
```

SG   P2/m, No. 10
Uncorrected energy   -98.12 eV/cell
M_tot   0.0 μB per formula unit
Theoretical density   4.8 g/cm³
Energy relative to the elements, uncorrected   -2555 meV/atom

***

# 7
Here is a relaxed structure of NdSc2TeO8 from Alexandria. Energies are from PBE-GGA.

The structure in POSCAR format:
```
NdSc2TeO8
1.0
-0.5609 -3.5989 -3.1586
4.2073 -1.8818 1.4164
-3.2574 -3.6860 4.7783
Sc O Nd Te
2 8 1 1
direct
0.5000 0.5000 0.2350
0.5000 0.5000 0.7650
0.8074 0.1932 0.2086
0.6657 0.6667 0.5000
0.8074 0.1932 0.7914
0.7107 0.7114 0.0000
0.3343 0.3333 0.5000
0.1926 0.8068 0.2086
0.2893 0.2886 0.0000
0.1926 0.8068 0.7914
0.0000 0.0000 0.5000
0.0000 0.0000 0.0000
```

SG   Cmmm, No. 65
Uncorrected energy   -89.45 eV/cell
M_tot   0.5 μB per formula unit
Theoretical density   5.1 g/cm³
Energy relative to the elements, uncorrected   -2434 meV/atom
D(E_F)   0.2827 states/eV/atom

***

# 8
Here is a relaxed structure of NdScTe2O from Alexandria. Energies are from PBE-GGA.

The structure in POSCAR format:
```
NdScTe2O
1.0
-1.6036 -0.8702 -3.7117
3.8117 -0.4411 -1.5433
-0.2605 -14.7084 3.5610
Te O Nd Sc
4 2 2 2
direct
0.5000 0.0000 0.2973
0.5000 0.0000 0.9124
0.0000 0.5000 0.7027
0.0000 0.5000 0.0876
0.0000 0.0000 0.5000
0.5000 0.5000 0.5000
0.5000 0.0000 0.5760
0.0000 0.5000 0.4240
0.5000 0.0000 0.1175
0.0000 0.5000 0.8825
```

SG   P4/nmm, No. 129
Uncorrected energy   -64.56 eV/cell
M_tot   0.0 μB per formula unit
Theoretical density   5.9 g/cm³
Energy relative to the elements, uncorrected   -1988 meV/atom
D(E_F)   0.3092 states/eV/atom

***

# 9
Here is a relaxed structure of Nd2ScTiO6 from Alexandria. Energies are from PBE-GGA.

The structure in POSCAR format:
```
Nd2ScTiO6
1.0
5.5702 0.0000 -0.0481
0.0000 5.7954 0.0000
-0.0203 0.0000 7.9412
Sc O Nd Ti
2 12 4 2
direct
0.0000 0.5000 0.5000
0.5000 0.0000 0.0000
0.6031 0.0314 0.2556
0.3037 0.7030 0.4447
0.8969 0.5314 0.2444
0.2020 0.1971 0.4485
0.7980 0.8029 0.5515
0.3969 0.9686 0.7444
0.7020 0.3029 0.9485
0.1963 0.2030 0.0553
0.8037 0.7970 0.9447
0.1031 0.4686 0.7556
0.6963 0.2970 0.5553
0.2980 0.6971 0.0515
0.5159 0.5620 0.7487
0.9841 0.0620 0.7513
0.4841 0.4380 0.2513
0.0159 0.9380 0.2487
0.0000 0.5000 0.0000
0.5000 0.0000 0.5000
```

SG   P2_1/c, No. 14
Uncorrected energy   -172.91 eV/cell
M_tot   1.0 μB per formula unit
Theoretical density   6.2 g/cm³
Energy relative to the elements, uncorrected   -3294 meV/atom
D(E_F)   0.2895 states/eV/atom

***

# 10
Here is a relaxed structure of NdScTl2O6 from Alexandria. Energies are from PBE-GGA.

The structure in POSCAR format:
```
NdScTl2O6
1.0
5.7861 0.0002 0.0001
2.8932 5.0110 -0.0001
2.8928 1.6704 5.0960
O Sc Tl Nd
6 1 2 1
direct
0.5948 0.2147 0.2483
0.2147 0.9422 0.2483
0.1338 0.4048 0.7679
0.4048 0.6934 0.7679
0.9422 0.5948 0.2483
0.6934 0.1338 0.7680
0.3151 0.3151 0.0546
0.0255 0.0255 0.9235
0.5320 0.5320 0.4041
0.8052 0.8053 0.5843
```

SG   R3, No. 146
Uncorrected energy   -65.57 eV/cell
M_tot   0.0 μB per formula unit
Theoretical density   7.8 g/cm³
Energy relative to the elements, uncorrected   -1999 meV/atom

***

# 11
Here is a relaxed structure of Nd2Sc2Tl2O from Alexandria. Energies are from PBE-GGA.

The structure in POSCAR format:
```
Nd2Sc2Tl2O
1.0
-4.0200 -0.6586 1.9503
1.9845 -2.3762 3.2883
2.0121 8.4009 1.7548
Tl Sc Nd O
2 2 2 1
direct
0.6298 0.6298 0.2595
0.3702 0.3702 0.7405
0.0000 0.5000 0.0000
0.5000 0.0000 0.0000
0.1670 0.1670 0.3339
0.8330 0.8330 0.6661
0.0000 0.0000 0.0000
```

SG   I4/mmm, No. 139
Uncorrected energy   -39.88 eV/cell
M_tot   0.0 μB per formula unit
Theoretical density   8.0 g/cm³
Energy relative to the elements, uncorrected   -1141 meV/atom
D(E_F)   0.4589 states/eV/atom

***

# 12
Here is a relaxed structure of Nd2TmScO6 from Alexandria. Energies are from PBE-GGA.

The structure in POSCAR format:
```
Nd2TmScO6
1.0
5.6891 0.0000 -0.0330
0.0000 5.9333 0.0000
0.0025 0.0000 8.2559
O Nd Tm Sc
12 4 2 2
direct
0.8769 0.5523 0.2442
0.6897 0.2974 0.5668
0.7980 0.8075 0.5639
0.2020 0.1925 0.4361
0.1231 0.4477 0.7558
0.8103 0.7974 0.9332
0.3769 0.9477 0.7442
0.1897 0.2026 0.0668
0.2980 0.6925 0.0639
0.3103 0.7026 0.4332
0.6231 0.0523 0.2558
0.7020 0.3075 0.9361
0.5183 0.5557 0.7504
0.4817 0.4443 0.2496
0.0183 0.9443 0.2504
0.9817 0.0557 0.7496
0.0000 0.5000 0.5000
0.5000 0.0000 0.0000
0.0000 0.5000 0.0000
0.5000 0.0000 0.5000
```

SG   P2_1/c, No. 14
Uncorrected energy   -169.67 eV/cell
M_tot   0.0 μB per formula unit
Theoretical density   7.1 g/cm³
Energy relative to the elements, uncorrected   -3475 meV/atom
D(E_F)   0.0000 states/eV/atom